# LaZn6Au12 | Alexandria | PBE | relaxed
data_LaZn6Au12
_cell_length_a 11.8453
_cell_length_b 11.8453
_cell_length_c 8.9975
_cell_angle_alpha 90.00
_cell_angle_beta 90.00
_cell_angle_gamma 120.00
_space_group_name_H-M_alt 'R -3 m'
_space_group_IT_number 166
_space_group_name_Hall '-R 3 2"'
loop_
_atom_site_label
_atom_site_fract_x
_atom_site_fract_y
_atom_site_fract_z
La1 0.0000 0.0000 0.0000
Zn1 0.0603 0.5302 0.2454
Au1 0.0000 0.3823 0.5000
Au2 0.0833 0.1666 0.2930
# **Calculated volume**: 1093 Å³ per cell
# **Formation enthalpy at 0 K**: -221 meV per atom
# **Density**: 13.2 g cm⁻³
# **DOS at the Fermi energy**: 25.48 states/eV per cell

***

# LaZn6Au2 | Alexandria | PBE | relaxed
data_LaZn6Au2
_cell_length_a 4.2647
_cell_length_b 4.2647
_cell_length_c 9.1821
_cell_angle_alpha 90.00
_cell_angle_beta 90.00
_cell_angle_gamma 90.00
_space_group_name_H-M_alt 'P 4/m m m'
_space_group_IT_number 123
_space_group_name_Hall '-P 4 2'
loop_
_atom_site_label
_atom_site_fract_x
_atom_site_fract_y
_atom_site_fract_z
La1 0.0000 0.0000 0.0000
Zn1 0.0000 0.0000 0.5000
Zn2 0.0000 0.5000 0.3170
Zn3 0.5000 0.5000 0.5000
Au1 0.5000 0.5000 0.1494
# **Calculated volume**: 167 Å³ per cell
# **Formation enthalpy at 0 K**: -318 meV per atom
# **Density**: 9.2 g cm⁻³
# **DOS at the Fermi energy**: 2.63 states/eV per cell